(1)
# TaNi2Rh2

A geometry-optimized TaNi2Rh2 structure (PBE-GGA, Alexandria).

It has space group P4/mbm (No. 127), with a = 6.9213 Å, b = 6.9213 Å, c = 2.8648 Å, α = 90.00°, β = 90.00° and γ = 90.00°. Symmetry generates all atoms from Ta at (0.0000, 0.0000, 0.0000), Ni at (0.1245, 0.3755, 0.0000) and Rh at (0.1722, 0.6722, 0.5000).

The value obtained for the density of states at the Fermi level is 6.11 states/eV/f.u. Its energy of formation is -0.108 eV/atom. The calculation puts the electronic total energy at -38.66 eV per formula unit. The value obtained for the total magnetization is 0.1599 μB/atom.

=====

(2)
# TaNiRh3

A geometry-optimized TaNiRh3 structure (PBE-GGA, Alexandria).

It has space group P6_3/mmc (No. 194), with a = 6.3884 Å, b = 6.3884 Å, c = 4.3606 Å, α = 90.00°, β = 90.00° and γ = 120.00°. Symmetry generates all atoms from Ta at (0.3333, 0.6667, 0.2500), Ni at (0.0000, 0.0000, 0.0000) and Rh at (0.1950, 0.3901, 0.7500).

The value obtained for the density of states at the Fermi level is 6.26 states/eV/f.u. Its energy of formation is 0.118 eV/atom. The calculation puts the electronic total energy at -39.10 eV per formula unit. The value obtained for the total magnetization is 0.0000 μB/atom.

=====

(3)
# TaNiRh4

A geometry-optimized TaNiRh4 structure (PBE-GGA, Alexandria).

It has space group C2/m (No. 12), with a = 5.1908 Å, b = 7.2688 Å, c = 5.3389 Å, α = 90.00°, β = 117.86° and γ = 90.00°. Symmetry generates all atoms from Ta at (0.0000, 0.0000, 0.0000), Ni at (0.0000, 0.5000, 0.5000) and Rh at (0.2491, 0.3097, 0.2576).

The value obtained for the density of states at the Fermi level is 7.22 states/eV/f.u. Its energy of formation is -0.146 eV/atom. The calculation puts the electronic total energy at -47.92 eV per formula unit. The value obtained for the total magnetization is 0.0000 μB/atom.

=====

(4)
# Ta2Ni3Rh

A geometry-optimized Ta2Ni3Rh structure (PBE-GGA, Alexandria).

It has space group C2/m (No. 12), with a = 11.8136 Å, b = 3.8202 Å, c = 8.4156 Å, α = 90.00°, β = 118.71° and γ = 90.00°. Symmetry generates all atoms from Ta at (0.0209, 0.0000, 0.3381), Ta at (0.2105, 0.5000, 0.3493), Ni at (0.0400, 0.5000, 0.8842), Ni at (0.1211, 0.0000, 0.1126), Ni at (0.2173, 0.0000, 0.8978) and Rh at (0.1285, 0.5000, 0.6424).

The value obtained for the density of states at the Fermi level is 4.18 states/eV/f.u. Its energy of formation is -0.228 eV/atom. The calculation puts the electronic total energy at -49.77 eV per formula unit. The value obtained for the total magnetization is 0.0000 μB/atom.